1.
VASP calculation (GGA-PBE) on a relaxed structure of KTcN3.

abc: 3.951 3.951 3.951
angles: 90.00 90.00 90.00
Positions (direct):
K (0.000, 0.000, 0.000)
Tc (0.500, 0.500, 0.500)
N (0.000, 0.500, 0.500)
N (0.500, 0.000, 0.500)
N (0.500, 0.500, 0.000)

The volume comes out at 62 Å³/cell. The calculation puts the energy relative to the elements, uncorrected at 50.0 kJ/mol of atoms. The total energy comes out at -33.85 eV for the cell shown. As for the crystal system: cubic.

***

2.
VASP calculation (GGA-PBE) on a relaxed structure of KTc2N.

abc: 6.285 6.285 6.285
angles: 60.00 60.00 60.00
Positions (direct):
K (0.125, 0.125, 0.125)
K (0.875, 0.875, 0.875)
Tc (0.000, 0.500, 0.500)
Tc (0.500, 0.000, 0.500)
Tc (0.500, 0.500, 0.000)
Tc (0.500, 0.500, 0.500)
N (0.375, 0.375, 0.375)
N (0.625, 0.625, 0.625)

The volume comes out at 176 Å³/cell. The calculation puts the energy relative to the elements, uncorrected at 71.0 kJ/mol of atoms. The total energy comes out at -54.42 eV for the cell shown. As for the crystal system: cubic.

***

3.
VASP calculation (GGA-PBE) on a relaxed structure of KTcTeN2.

abc: 4.075 4.075 5.588
angles: 90.00 90.00 90.00
Positions (direct):
K (0.000, 0.000, 0.000)
Tc (0.500, 0.500, 0.500)
Te (0.500, 0.500, 0.000)
N (0.000, 0.500, 0.500)
N (0.500, 0.000, 0.500)

The volume comes out at 93 Å³/cell. The calculation puts the energy relative to the elements, uncorrected at 60.0 kJ/mol of atoms. The energy above the most stable polymorph in this dataset comes out at 0.0 meV/atom. The total energy comes out at -28.15 eV for the cell shown. As for the crystal system: tetragonal.

***

4.
VASP calculation (GGA-PBE) on a relaxed structure of KTcTeN2.

abc: 4.691 4.691 6.885
angles: 90.00 90.00 90.00
Positions (direct):
K (0.000, 0.000, 0.000)
Tc (0.500, 0.500, 0.500)
Te (0.000, 0.000, 0.500)
N (0.000, 0.500, 0.000)
N (0.500, 0.000, 0.000)

The volume comes out at 152 Å³/cell. The calculation puts the energy relative to the elements, uncorrected at 251.2 kJ/mol of atoms. The energy above the most stable polymorph in this dataset comes out at 1981.9 meV/atom. The total energy comes out at -18.24 eV for the cell shown. As for the crystal system: tetragonal.